The following is a DFT calculation (PBE-GGA) of an optimized crystal structure of AlMoPd3. Values from VASP.

The calculated formation energy comes out at 1087 meV per atom. Its energy above the lowest structure with this stoichiometry is 354 meV/atom. The density of states at the Fermi level is 4.8 states/eV/cell. Its symmetry is Pm-3m.

```
&SYSTEM
  ibrav = 0, nat = 5, ntyp = 3
/
ATOMIC_SPECIES
Mo 95.94 Mo.upf
Al 26.98 Al.upf
Pd 106.42 Pd.upf
ATOMIC_POSITIONS crystal
Mo 0.000 0.000 0.000
Al 0.500 0.500 0.500
Pd 0.000 0.500 0.000
Pd 0.000 0.000 0.500
Pd 0.500 0.000 0.000
CELL_PARAMETERS angstrom
4.806 0.000 0.000
0.000 4.806 0.000
0.000 0.000 4.806
```



The following is a DFT calculation (PBE-GGA) of an optimized crystal structure of AlMo2Pd2. Values from VASP.

The calculated formation energy comes out at 282 meV per atom. Its energy above the lowest structure with this stoichiometry is 0 meV/atom. The density of states at the Fermi level is 7.9 states/eV/cell. Its symmetry is P4/mbm.

```
&SYSTEM
  ibrav = 0, nat = 10, ntyp = 3
/
ATOMIC_SPECIES
Mo 95.94 Mo.upf
Al 26.98 Al.upf
Pd 106.42 Pd.upf
ATOMIC_POSITIONS crystal
Mo 0.387 0.887 0.000
Mo 0.887 0.613 0.000
Mo 0.613 0.113 0.000
Mo 0.113 0.387 0.000
Al 0.000 0.000 0.000
Al 0.500 0.500 0.000
Pd 0.178 0.678 0.500
Pd 0.678 0.822 0.500
Pd 0.822 0.322 0.500
Pd 0.322 0.178 0.500
CELL_PARAMETERS angstrom
7.789 0.000 0.000
0.000 7.789 0.000
0.000 0.000 2.795
```



The following is a DFT calculation (PBE-GGA) of an optimized crystal structure of Al2MoPd. Values from VASP.

The calculated formation energy comes out at -383 meV per atom. Its energy above the lowest structure with this stoichiometry is 117 meV/atom. The density of states at the Fermi level is 2.2 states/eV/cell. Its symmetry is R-3m.

```
&SYSTEM
  ibrav = 0, nat = 4, ntyp = 3
/
ATOMIC_SPECIES
Mo 95.94 Mo.upf
Al 26.98 Al.upf
Pd 106.42 Pd.upf
ATOMIC_POSITIONS crystal
Mo 0.500 0.500 0.500
Al 0.747 0.747 0.759
Al 0.253 0.253 0.241
Pd 0.000 0.000 0.000
CELL_PARAMETERS angstrom
-1.271 0.239 -2.558
-2.851 0.245 -0.167
-0.665 8.712 -0.462
```



The following is a DFT calculation (PBE-GGA) of an optimized crystal structure of AlMo2Pd. Values from VASP.

The calculated formation energy comes out at 459 meV per atom. The density of states at the Fermi level is 9.1 states/eV/cell. Its symmetry is I-42d.

```
&SYSTEM
  ibrav = 0, nat = 8, ntyp = 3
/
ATOMIC_SPECIES
Mo 95.94 Mo.upf
Al 26.98 Al.upf
Pd 106.42 Pd.upf
ATOMIC_POSITIONS crystal
Mo 0.624 0.125 0.250
Mo 0.126 0.625 0.250
Mo 0.375 0.376 0.750
Mo 0.875 0.874 0.750
Al 0.500 0.500 0.000
Al 0.250 0.750 0.500
Pd 0.000 0.000 0.000
Pd 0.750 0.250 0.500
CELL_PARAMETERS angstrom
7.186 0.000 0.000
0.000 7.186 0.000
3.593 3.593 2.580
```



The following is a DFT calculation (PBE-GGA) of an optimized crystal structure of Al2MoPd. Values from VASP.

The calculated formation energy comes out at -386 meV per atom. Its energy above the lowest structure with this stoichiometry is 114 meV/atom. The density of states at the Fermi level is 3.7 states/eV/cell. Its symmetry is Fm-3m.

```
&SYSTEM
  ibrav = 0, nat = 4, ntyp = 3
/
ATOMIC_SPECIES
Mo 95.94 Mo.upf
Al 26.98 Al.upf
Pd 106.42 Pd.upf
ATOMIC_POSITIONS crystal
Mo 0.000 0.000 0.000
Al 0.250 0.250 0.250
Al 0.750 0.750 0.750
Pd 0.500 0.500 0.500
CELL_PARAMETERS angstrom
0.000 3.089 3.089
3.089 0.000 3.089
3.089 3.089 0.000
```



The following is a DFT calculation (PBE-GGA) of an optimized crystal structure of Al2MoPd. Values from VASP.

The calculated formation energy comes out at -500 meV per atom. Its energy above the lowest structure with this stoichiometry is 0 meV/atom. The density of states at the Fermi level is 2.0 states/eV/cell. Its symmetry is P4/mmm.

```
&SYSTEM
  ibrav = 0, nat = 4, ntyp = 3
/
ATOMIC_SPECIES
Mo 95.94 Mo.upf
Al 26.98 Al.upf
Pd 106.42 Pd.upf
ATOMIC_POSITIONS crystal
Mo 0.500 0.000 0.000
Al 0.000 0.000 0.500
Al 0.000 0.500 0.000
Pd 0.500 0.500 0.500
CELL_PARAMETERS angstrom
-2.181 1.807 -1.182
-2.155 -3.546 -1.445
-2.217 -0.197 3.789
```